Record 1
Crystalline RbZn at its relaxed geometry, computed with PBE-GGA.

```
RbZn
1.0
4.843 0.000 0.000
0.000 22.337 0.000
0.000 0.000 5.344
Rb Zn
6 6
direct
0.250 0.089 0.000
0.250 0.411 0.000
0.250 0.750 0.494
0.750 0.250 0.506
0.750 0.589 0.000
0.750 0.911 0.000
0.250 0.250 0.006
0.250 0.520 0.500
0.250 0.980 0.500
0.750 0.020 0.500
0.750 0.480 0.500
0.750 0.750 0.994
```

Results
formation energy from the elements	188	meV/atom
Fermi-level density of states	0.64	states/eV/atom
symmetry	Pmmn, No. 59
magnetization	0.00	Bohr magnetons per cell

Record 2
Crystalline PmNd3Cd2 at its relaxed geometry, computed with PBE-GGA.

```
PmNd3Cd2
1.0
3.780 0.000 0.000
0.000 3.780 0.000
0.000 0.000 12.956
Pm Nd Cd
1 3 2
direct
0.000 0.000 0.000
0.500 0.500 0.194
0.500 0.500 0.500
0.500 0.500 0.806
0.000 0.000 0.346
0.000 0.000 0.654
```

Results
formation energy from the elements	-203	meV/atom
Fermi-level density of states	1.13	states/eV/atom
symmetry	P4/mmm, No. 123
magnetization	0.28	Bohr magnetons per cell

Record 3
Crystalline Tb6Pm2Er3Pb at its relaxed geometry, computed with PBE-GGA.

```
Tb6Pm2Er3Pb
1.0
3.051 -5.287 0.000
3.051 5.287 0.000
-2.038 0.000 11.589
Tb Pm Er Pb
6 2 3 1
direct
0.083 0.411 0.752
0.243 0.243 0.247
0.411 0.083 0.752
0.589 0.917 0.248
0.757 0.757 0.753
0.917 0.589 0.248
0.334 0.666 0.500
0.666 0.334 0.500
0.168 0.832 0.000
0.500 0.500 0.000
0.832 0.168 0.000
0.000 0.000 0.500
```

Results
formation energy from the elements	-63	meV/atom
Fermi-level density of states	1.10	states/eV/atom
symmetry	C2/m, No. 12
magnetization	0.00	Bohr magnetons per cell

Record 4
Crystalline LiTl2ZnSb2 at its relaxed geometry, computed with PBE-GGA.

```
LiTl2ZnSb2
1.0
-3.159 7.520 3.426
3.159 -7.520 3.426
3.159 7.520 -3.426
Li Tl Zn Sb
2 4 2 4
direct
0.250 0.250 0.000
0.750 0.750 0.000
0.172 0.237 0.409
0.328 0.737 0.064
0.672 0.263 0.936
0.828 0.763 0.591
0.250 0.750 0.500
0.750 0.250 0.500
0.108 0.731 0.839
0.392 0.231 0.623
0.608 0.769 0.377
0.892 0.269 0.161
```

Results
Fermi-level density of states	0.41	states/eV/atom
ΔE_f (raw)	-3.32	kcal/mol of atoms
symmetry	Ibam, No. 72
magnetization	0.00	Bohr magnetons per cell

Record 5
Crystalline LaAlCo2 at its relaxed geometry, computed with PBE-GGA.

```
LaAlCo2
1.0
2.961 0.000 0.000
0.000 3.289 0.000
-1.258 0.000 6.530
La Al Co
1 1 2
direct
0.000 0.000 0.000
0.000 0.000 0.500
0.442 0.500 0.307
0.558 0.500 0.693
```

Results
formation energy from the elements	-89	meV/atom
Fermi-level density of states	0.68	states/eV/atom
symmetry	P2/m, No. 10
magnetization	0.00	Bohr magnetons per cell

Record 6
Crystalline Ac3In8Hg3 at its relaxed geometry, computed with PBE-GGA.

```
Ac3In8Hg3
1.0
-2.458 5.770 7.081
2.458 -5.770 7.081
2.458 5.770 -7.081
Ac In Hg
3 8 3
direct
0.000 0.000 0.000
0.322 0.322 0.000
0.678 0.678 0.000
0.034 0.660 0.374
0.130 0.858 0.273
0.285 0.660 0.626
0.415 0.142 0.273
0.585 0.858 0.727
0.715 0.340 0.374
0.870 0.142 0.727
0.966 0.340 0.626
0.300 0.500 0.800
0.500 0.000 0.500
0.700 0.500 0.200
```

Results
formation energy from the elements	-349	meV/atom
Fermi-level density of states	0.34	states/eV/atom
symmetry	Immm, No. 71
magnetization	0.00	Bohr magnetons per cell

Repeat the second record exactly.
Crystalline PmNd3Cd2 at its relaxed geometry, computed with PBE-GGA.

```
PmNd3Cd2
1.0
3.780 0.000 0.000
0.000 3.780 0.000
0.000 0.000 12.956
Pm Nd Cd
1 3 2
direct
0.000 0.000 0.000
0.500 0.500 0.194
0.500 0.500 0.500
0.500 0.500 0.806
0.000 0.000 0.346
0.000 0.000 0.654
```

Results
formation energy from the elements	-203	meV/atom
Fermi-level density of states	1.13	states/eV/atom
symmetry	P4/mmm, No. 123
magnetization	0.28	Bohr magnetons per cell

- The highest Fermi-level density of states belongs to which entry?
  PmNd3Cd2

- Which of these has the lowest Fermi-level density of states?
  Ac3In8Hg3